1.
Computed, not measured: a relaxed ThPaGa2 crystal at the PBE-GGA level of DFT.

The structure in POSCAR format:
```
ThPaGa2
1.0
0.000 3.631 3.631
3.631 0.000 3.631
3.631 3.631 0.000
Th Pa Ga
1 1 2
direct
0.000 0.000 0.000
0.500 0.500 0.500
0.250 0.250 0.250
0.750 0.750 0.750
```

2.
Computed, not measured: a relaxed Y2BeTcOs crystal at the PBE-GGA level of DFT.

The structure in POSCAR format:
```
Y2BeTcOs
1.0
5.016 0.000 0.000
0.000 5.016 0.000
0.000 0.000 3.986
Y Be Tc Os
2 1 1 1
direct
0.000 0.500 0.000
0.500 0.000 0.000
0.000 0.000 0.000
0.000 0.000 0.500
0.500 0.500 0.500
```

Number 1: DFT formation energy -207 meV/atom. Number 2: DFT formation energy 631 meV/atom.